# 1
## NiIrNF2 (SCAN)

Data for NiIrNF2 at its PBEsol-relaxed geometry.

extended XYZ file:
```
5
Lattice="-1.034 3.043 -1.439 -3.365 -0.968 0.371 -0.094 1.845 3.967" Properties=species:S:1:pos:R:3 pbc="T T T"
Ir -2.246 1.960 1.449
N -0.047 0.922 1.984
F -0.517 1.521 -0.720
F -1.683 -0.484 0.185
Ni 0.000 0.000 0.000
```

Properties
- Formation energy from raw total energies: 0.256 eV/atom


# 2
## NaAlI4 (SCAN)

Data for NaAlI4 at its PBEsol-relaxed geometry.

extended XYZ file:
```
24
Lattice="8.036 0.000 0.000 0.000 8.054 0.000 0.000 0.000 14.772" Properties=species:S:1:pos:R:3 pbc="T T T"
I 0.020 6.123 2.981
Na 2.009 3.579 2.232
I 8.016 1.930 11.790
Al 2.009 1.598 5.893
Na 6.027 4.474 12.540
I 8.016 2.096 4.405
Na 2.009 0.447 9.617
Al 2.009 2.429 13.278
I 2.009 4.873 14.003
I 2.009 7.207 6.617
I 2.009 0.920 0.538
I 6.027 3.180 0.769
I 2.009 3.107 7.923
I 3.998 6.123 2.981
I 0.020 5.957 10.367
I 4.038 1.930 11.790
I 6.027 4.947 6.848
Na 6.027 7.606 5.154
I 4.038 2.096 4.405
I 6.027 7.133 14.234
Al 6.027 5.624 1.493
Al 6.027 6.456 8.879
I 6.027 0.846 8.154
I 3.998 5.957 10.367
```

Properties
- Formation energy from raw total energies: -0.970 eV/atom


# 3
## KGa3Sn (SCAN)

Data for KGa3Sn at its PBEsol-relaxed geometry.

extended XYZ file:
```
5
Lattice="5.391 0.000 0.000 0.000 5.391 0.000 0.000 0.000 5.391" Properties=species:S:1:pos:R:3 pbc="T T T"
Ga 0.000 0.000 2.695
Sn 0.000 0.000 0.000
K 2.695 2.695 2.695
Ga 0.000 2.695 0.000
Ga 2.695 0.000 0.000
```


# 4
## SiSbPt5 (SCAN)

Data for SiSbPt5 at its PBEsol-relaxed geometry.

extended XYZ file:
```
7
Lattice="-1.485 -2.723 -2.433 -0.590 -2.413 3.061 -6.530 2.748 0.909" Properties=species:S:1:pos:R:3 pbc="T T T"
Pt 0.000 0.000 0.000
Pt -5.325 0.567 -0.579
Pt -2.243 -0.387 1.802
Sb -1.037 -2.568 0.314
Pt -2.691 -0.542 -0.945
Pt -4.877 0.722 2.168
Si -3.265 1.374 0.454
```

Properties
- Formation energy from raw total energies: -0.460 eV/atom


# 5
## Tl2Fe3S4 (SCAN)

Data for Tl2Fe3S4 at its PBEsol-relaxed geometry.

extended XYZ file:
```
18
Lattice="-0.439 5.068 0.035 -2.722 2.264 7.718 6.867 3.122 3.900" Properties=species:S:1:pos:R:3 pbc="T T T"
Tl 0.718 3.836 6.314
S 1.300 6.404 8.182
S -0.778 3.781 2.373
S -0.183 6.301 4.434
Fe 0.430 7.630 9.675
Fe 3.275 2.823 1.978
Tl -1.805 6.164 7.249
S 3.888 4.152 7.220
Fe -1.422 2.403 3.848
S 4.483 6.672 9.280
S 1.822 1.390 1.410
Fe 2.779 7.840 8.740
Tl 5.510 4.290 4.405
S 1.883 9.064 10.244
Tl 2.987 6.617 5.340
Fe 0.926 2.613 2.913
Fe 5.127 8.050 7.805
S 2.405 4.050 3.472
```

Properties
- Formation energy from raw total energies: -0.388 eV/atom


# 6
## LaTlPt2 (SCAN)

Data for LaTlPt2 at its PBEsol-relaxed geometry.

extended XYZ file:
```
4
Lattice="4.270 0.000 0.000 0.000 4.270 0.000 -2.135 -2.135 4.577" Properties=species:S:1:pos:R:3 pbc="T T T"
La 0.000 2.135 2.288
Pt 0.000 0.000 0.000
Pt 2.135 0.000 2.288
Tl 2.135 2.135 0.000
```


What did we get for Fermi-level density of states? Answer: 2.07 0.00 2.94 2.93 3.47 1.54 states/eV/f.u., in the order shown.
What did we get for E_tot? Answer: -102.4 -164.8 -91.7 -401.5 -241.1 -258.3 eV/f.u., in the order shown.